No. 1
Tb2Er4Tm5 after structural relaxation, computed with PBE.

Unit cell a=6.065 b=6.065 c=12.612 alpha=103.82 beta=103.82 gamma=48.17
Atoms (fractional coordinates):
Tb (0.045, 0.045, 0.318)
Tb (0.955, 0.955, 0.682)
Er (0.227, 0.227, 0.591)
Er (0.409, 0.409, 0.864)
Er (0.591, 0.591, 0.136)
Er (0.773, 0.773, 0.409)
Tm (0.136, 0.136, 0.955)
Tm (0.318, 0.318, 0.226)
Tm (0.500, 0.500, 0.500)
Tm (0.682, 0.682, 0.774)
Tm (0.864, 0.864, 0.045)

Properties
excess energy over the best structure of this formula in the dataset	0.000	eV per atom


No. 2
AcLaGaHg after structural relaxation, computed with PBE.

Unit cell a=5.552 b=5.552 c=5.552 alpha=60.00 beta=60.00 gamma=60.00
Atoms (fractional coordinates):
Ac (0.000, 0.000, 0.000)
La (0.500, 0.500, 0.500)
Ga (0.250, 0.250, 0.250)
Hg (0.750, 0.750, 0.750)

Properties
excess energy over the best structure of this formula in the dataset	0.036	eV per atom


No. 3
Zr6Zn23Si after structural relaxation, computed with PBE.

Unit cell a=8.776 b=8.776 c=8.776 alpha=60.00 beta=60.00 gamma=60.00
Atoms (fractional coordinates):
Zr (0.211, 0.211, 0.789)
Zr (0.211, 0.789, 0.211)
Zr (0.211, 0.789, 0.789)
Zr (0.789, 0.211, 0.211)
Zr (0.789, 0.211, 0.789)
Zr (0.789, 0.789, 0.211)
Zn (0.000, 0.000, 0.500)
Zn (0.000, 0.500, 0.000)
Zn (0.000, 0.500, 0.500)
Zn (0.130, 0.623, 0.623)
Zn (0.164, 0.164, 0.164)
Zn (0.164, 0.164, 0.507)
Zn (0.164, 0.507, 0.164)
Zn (0.377, 0.377, 0.377)
Zn (0.377, 0.377, 0.870)
Zn (0.377, 0.870, 0.377)
Zn (0.493, 0.836, 0.836)
Zn (0.500, 0.000, 0.000)
Zn (0.500, 0.000, 0.500)
Zn (0.500, 0.500, 0.000)
Zn (0.500, 0.500, 0.500)
Zn (0.507, 0.164, 0.164)
Zn (0.623, 0.130, 0.623)
Zn (0.623, 0.623, 0.130)
Zn (0.623, 0.623, 0.623)
Zn (0.836, 0.493, 0.836)
Zn (0.836, 0.836, 0.493)
Zn (0.836, 0.836, 0.836)
Zn (0.870, 0.377, 0.377)
Si (0.000, 0.000, 0.000)

Properties
E_form (uncorrected)	-0.28	eV per atom


No. 4
Zr3Be2B4 after structural relaxation, computed with PBE.

Unit cell a=4.843 b=4.843 c=6.778 alpha=97.69 beta=97.69 gamma=40.00
Atoms (fractional coordinates):
Zr (0.000, 0.000, 0.000)
Zr (0.336, 0.336, 0.331)
Zr (0.664, 0.664, 0.669)
Be (0.388, 0.388, 0.722)
Be (0.612, 0.612, 0.278)
B (0.053, 0.053, 0.398)
B (0.275, 0.275, 0.951)
B (0.725, 0.725, 0.049)
B (0.947, 0.947, 0.602)

Properties
uncorrected energy	-7.379	eV per atom


No. 5
Th2TaCo3Ni12 after structural relaxation, computed with PBE.

Unit cell a=9.169 b=9.169 c=9.169 alpha=38.56 beta=38.56 gamma=38.56
Atoms (fractional coordinates):
Th (0.147, 0.147, 0.147)
Th (0.853, 0.853, 0.853)
Ta (0.500, 0.500, 0.500)
Co (0.000, 0.500, 0.500)
Co (0.500, 0.000, 0.500)
Co (0.500, 0.500, 0.000)
Ni (0.084, 0.084, 0.696)
Ni (0.084, 0.696, 0.084)
Ni (0.116, 0.588, 0.588)
Ni (0.304, 0.916, 0.916)
Ni (0.412, 0.412, 0.884)
Ni (0.412, 0.884, 0.412)
Ni (0.588, 0.116, 0.588)
Ni (0.588, 0.588, 0.116)
Ni (0.696, 0.084, 0.084)
Ni (0.884, 0.412, 0.412)
Ni (0.916, 0.304, 0.916)
Ni (0.916, 0.916, 0.304)

Properties
uncorrected energy	-6.292	eV per atom


No. 6
SmNpIrRh after structural relaxation, computed with PBE.

Unit cell a=4.886 b=4.886 c=4.886 alpha=60.00 beta=60.00 gamma=60.00
Atoms (fractional coordinates):
Sm (0.000, 0.000, 0.000)
Np (0.500, 0.500, 0.500)
Ir (0.750, 0.750, 0.750)
Rh (0.250, 0.250, 0.250)

Properties
uncorrected energy	-8.896	eV per atom


No. 7
Be5Pb4 after structural relaxation, computed with PBE.

Unit cell a=8.425 b=8.425 c=5.733 alpha=90.00 beta=90.00 gamma=120.00
Atoms (fractional coordinates):
Be (0.000, 0.308, 0.250)
Be (0.000, 0.692, 0.750)
Be (0.308, 0.000, 0.250)
Be (0.308, 0.308, 0.750)
Be (0.333, 0.667, 0.000)
Be (0.333, 0.667, 0.500)
Be (0.667, 0.333, 0.000)
Be (0.667, 0.333, 0.500)
Be (0.692, 0.000, 0.750)
Be (0.692, 0.692, 0.250)
Pb (0.000, 0.000, 0.000)
Pb (0.000, 0.000, 0.500)
Pb (0.000, 0.383, 0.750)
Pb (0.000, 0.617, 0.250)
Pb (0.383, 0.000, 0.750)
Pb (0.383, 0.383, 0.250)
Pb (0.617, 0.000, 0.250)
Pb (0.617, 0.617, 0.750)

Properties
uncorrected energy	-2.826	eV per atom


No. 8
Na2Ce3YSe6 after structural relaxation, computed with PBE.

Unit cell a=7.288 b=7.288 c=7.293 alpha=99.55 beta=99.55 gamma=119.93
Atoms (fractional coordinates):
Na (0.165, 0.835, 0.000)
Na (0.835, 0.165, 0.000)
Ce (0.000, 0.000, 0.500)
Ce (0.329, 0.671, 0.500)
Ce (0.671, 0.329, 0.500)
Y (0.500, 0.500, 0.000)
Se (0.093, 0.418, 0.756)
Se (0.259, 0.259, 0.250)
Se (0.418, 0.093, 0.756)
Se (0.582, 0.907, 0.244)
Se (0.741, 0.741, 0.750)
Se (0.907, 0.582, 0.244)

Properties
E_form (uncorrected)	-1.68	eV per atom


For the records above, the corresponding D(E_F) values read 15.1; 6.0; 4.0; 2.6; 22.9; 6.6; 5.5; 21.2 states/eV per cell.